{
  "formula": "HfTlReNi",
  "functional": "PBE",
  "state": "relaxed",
  "cell": [[6.532, 0.000, 0.000], [0.000, 6.532, 0.000], [0.000, 0.000, 6.532]],
  "species": ["Hf", "Hf", "Hf", "Hf", "Tl", "Tl", "Tl", "Tl", "Re", "Re", "Re", "Re", "Ni", "Ni", "Ni", "Ni"],
  "fractional_positions": [[0.000, 0.000, 0.000], [0.000, 0.500, 0.500], [0.500, 0.000, 0.500], [0.500, 0.500, 0.000], [0.250, 0.250, 0.250], [0.250, 0.750, 0.750], [0.750, 0.250, 0.750], [0.750, 0.750, 0.250], [0.250, 0.250, 0.750], [0.250, 0.750, 0.250], [0.750, 0.250, 0.250], [0.750, 0.750, 0.750], [0.000, 0.000, 0.500], [0.000, 0.500, 0.000], [0.500, 0.000, 0.000], [0.500, 0.500, 0.500]],
  "total_energy_ev_per_atom": -7.0491
}